Entry 1:
Below is a relaxed SmDy2Hg crystal, with properties calculated at the PBE level.

a = 3.6556 Å, b = 3.6556 Å, c = 10.7428 Å
α = 80.20°, β = 80.20°, γ = 60.00°
Fractional positions:
Sm1 0.5001 0.5001 0.4998
Dy1 0.0750 0.0750 0.7750
Dy2 0.2584 0.2584 0.2248
Hg1 0.6665 0.6665 0.0004

## Properties
The density of states at the Fermi level is 4.61 states/eV/cell. The calculation puts the energy above the most stable polymorph in this dataset at 0.076 eV per atom. Its size of the total moment is 0.000 Bohr magnetons per cell. For the total energy, the calculation gives -14.840 eV for the cell shown. The energy of formation from the pure elements comes out at -0.15 eV per atom.

=====

Entry 2:
Below is a relaxed Sm4DyHg crystal, with properties calculated at the PBE level.

a = 3.6442 Å, b = 3.6442 Å, c = 14.1358 Å
α = 90.00°, β = 90.00°, γ = 90.00°
Fractional positions:
Sm1 0.5000 0.5000 0.1767
Sm2 0.0000 0.0000 0.6441
Sm3 0.0000 0.0000 0.3559
Sm4 0.5000 0.5000 0.8233
Dy1 0.0000 0.0000 0.0000
Hg1 0.5000 0.5000 0.5000

## Properties
The density of states at the Fermi level is 8.03 states/eV/cell. The calculation puts the energy above the most stable polymorph in this dataset at 0.000 eV per atom. Its size of the total moment is 0.000 Bohr magnetons per cell. For the total energy, the calculation gives -24.647 eV for the cell shown. The energy of formation from the pure elements comes out at -0.14 eV per atom.

=====

Entry 3:
Below is a relaxed Sm2DyHg crystal, with properties calculated at the PBE level.

a = 3.6999 Å, b = 6.5489 Å, c = 10.3336 Å
α = 90.00°, β = 90.00°, γ = 106.41°
Fractional positions:
Sm1 0.3694 0.7389 0.5404
Sm2 0.6306 0.2611 0.4596
Sm3 0.6306 0.2611 0.0404
Sm4 0.3694 0.7389 0.9596
Dy1 0.9533 0.9066 0.2500
Dy2 0.0467 0.0934 0.7500
Hg1 0.2450 0.4901 0.2500
Hg2 0.7550 0.5099 0.7500

## Properties
The density of states at the Fermi level is 7.79 states/eV/cell. The calculation puts the energy above the most stable polymorph in this dataset at 0.004 eV per atom. Its size of the total moment is 0.000 Bohr magnetons per cell. For the total energy, the calculation gives -30.469 eV for the cell shown. The energy of formation from the pure elements comes out at -0.22 eV per atom.

=====

Entry 4:
Below is a relaxed Sm4DyHg2 crystal, with properties calculated at the PBE level.

a = 5.2039 Å, b = 5.2039 Å, c = 10.4387 Å
α = 75.57°, β = 75.57°, γ = 60.00°
Fractional positions:
Sm1 0.7060 0.7060 0.8820
Sm2 0.8872 0.8872 0.3385
Sm3 0.2940 0.2940 0.1180
Sm4 0.1128 0.1128 0.6615
Dy1 0.5000 0.5000 0.5000
Hg1 0.6007 0.6007 0.1978
Hg2 0.3993 0.3993 0.8022

## Properties
The density of states at the Fermi level is 11.58 states/eV/cell. Its size of the total moment is 0.019 Bohr magnetons per cell. For the total energy, the calculation gives -23.793 eV for the cell shown. The energy of formation from the pure elements comes out at 0.04 eV per atom.